Crystalline Ga2Cu at its relaxed geometry. Source: Alexandria, functional PBE.

a = 2.8805 Å, b = 2.8805 Å, c = 5.7812 Å
α = 90.00°, β = 90.00°, γ = 90.00°
Last column: nearest neighbours and their distance in Å.
Sites, in units of the cell vectors:
Cu 0.0000 0.0000 0.0000  8 Ga 2.61, 4 Cu 2.88
Ga 0.5000 0.5000 0.7189  1 Ga 2.53, 4 Cu 2.61
Ga 0.5000 0.5000 0.2811  1 Ga 2.53, 4 Cu 2.61

Computed properties:
- symmetry = P4/mmm, No. 123
- D(E_F) (states/eV per atom) = 0.31
- formation energy (eV per atom) = -0.084